Below is a relaxed ThMgOs crystal, with properties calculated at the PBE-GGA level.

Results
Size of the total moment, μB/f.u.: 0.0
Final energy, eV per atom: -6.9201
Space group: P-1 (2)

Structure (POSCAR):
```
ThMgOs
1.0
4.375 0.000 0.000
2.172 5.374 0.000
2.175 1.277 5.933
Th Mg Os
2 2 2
direct
0.084 0.166 0.167
0.916 0.834 0.833
0.307 0.307 0.580
0.693 0.693 0.420
0.356 0.641 0.143
0.644 0.359 0.857
```